(1)
The following is a DFT calculation (PBE-GGA) of crystalline SrLiNi2 at its relaxed geometry.

Lattice parameters (Å, degrees): 4.107 4.087 5.489 68.50 90.00 90.00
Fractional positions:
Ni 0.000 0.180 0.010
Sr 0.000 0.474 0.430
Ni 0.500 0.099 0.179
Li 0.500 0.747 0.881

Properties
DOS at the Fermi energy	3.70	states/eV/f.u.
SG	No. 6
total DFT energy (no corrections)	-14.608	eV for the cell shown
polymorph energy (0 for the lowest one)	0.140	eV/atom
energy of formation	0.138	eV per atom



(2)
The following is a DFT calculation (PBE-GGA) of crystalline BAsSe3 at its relaxed geometry.

Lattice parameters (Å, degrees): 4.475 4.475 4.475 90.00 90.00 90.00
Fractional positions:
Se 0.000 0.500 0.000
Se 0.500 0.000 0.000
Se 0.000 0.000 0.500
B 0.000 0.000 0.000
As 0.500 0.500 0.500

Properties
DOS at the Fermi energy	3.55	states/eV/f.u.
SG	No. 221
total DFT energy (no corrections)	-18.152	eV for the cell shown
polymorph energy (0 for the lowest one)	0.771	eV/atom